No. 1
Density functional theory data (PBE) for an optimized crystal structure of Be3SnAu.

Summary:
Total moment = 0.00 μB per atom
Formation energy from the elements = 1137 meV per atom
E above lowest polymorph = 656.2 meV per atom

a = 4.5596 Å, b = 4.5596 Å, c = 4.5596 Å
α = 90.00°, β = 90.00°, γ = 90.00°
Atoms (fractional coordinates):
Be 0.0000 0.0000 0.5000
Be 0.0000 0.5000 0.0000
Be 0.5000 0.0000 0.0000
Sn 0.0000 0.0000 0.0000
Au 0.5000 0.5000 0.5000

No. 2
Density functional theory data (PBE) for an optimized crystal structure of YbNd2S4.

Summary:
Total moment = 0.03 μB per atom
Formation energy (no corrections) = -1828 meV per atom
E above lowest polymorph = 256.4 meV per atom

a = 7.8255 Å, b = 7.8255 Å, c = 12.1566 Å
α = 90.00°, β = 90.00°, γ = 148.03°
Atoms (fractional coordinates):
Yb 0.0715 0.9285 0.7500
Yb 0.9285 0.0715 0.2500
Nd 0.0787 0.4183 0.6082
Nd 0.4183 0.0787 0.3918
Nd 0.5817 0.9213 0.8918
Nd 0.9213 0.5817 0.1082
S 0.0600 0.4561 0.3817
S 0.1959 0.3154 0.8681
S 0.3154 0.1959 0.1319
S 0.4561 0.0600 0.6183
S 0.5439 0.9400 0.1183
S 0.6846 0.8041 0.6319
S 0.8041 0.6846 0.3681
S 0.9400 0.5439 0.8817

No. 3
Density functional theory data (PBE) for an optimized crystal structure of LiPdAu3.

Summary:
Total moment = 0.00 μB per atom
Formation energy from the elements = 275 meV per atom
E above lowest polymorph = 561.2 meV per atom

a = 4.4195 Å, b = 4.4195 Å, c = 4.4195 Å
α = 90.00°, β = 90.00°, γ = 90.00°
Atoms (fractional coordinates):
Li 0.0000 0.0000 0.0000
Pd 0.5000 0.5000 0.5000
Au 0.0000 0.0000 0.5000
Au 0.0000 0.5000 0.0000
Au 0.5000 0.0000 0.0000